1.
First-principles (GGA-PBE) data for a relaxed Ba2NaWSe crystal, as listed in Alexandria via LeMat-Bulk.

Lattice parameters (Å, degrees): 5.793 5.793 5.495 90.00 90.00 90.00
Atoms (fractional coordinates):
Ba 0.000 0.500 0.000
Ba 0.500 0.000 0.000
Na 0.000 0.000 0.500
W 0.000 0.000 0.000
Se 0.500 0.500 0.500

Summary:
volume: 184.4 Å³/f.u.



2.
First-principles (GGA-PBE) data for a relaxed Ba2NaYSe4 crystal, as listed in Alexandria via LeMat-Bulk.

Lattice parameters (Å, degrees): 7.659 4.454 7.728 90.00 108.74 90.00
Atoms (fractional coordinates):
Ba 0.000 0.000 0.000
Ba 0.000 0.500 0.500
Na 0.500 0.000 0.500
Y 0.500 0.500 0.000
Se 0.278 0.500 0.242
Se 0.284 0.000 0.770
Se 0.716 0.000 0.230
Se 0.722 0.500 0.758

Summary:
volume: 249.6 Å³/f.u.



What are the formation energy (no corrections) values for these records? In order: 700 -1800 meV per atom.